[1]
# LiLuThGa | Alexandria via LeMat-Bulk | GGA-PBE | relaxed
# E   -70.72 eV/cell
# Formation enthalpy at 0 K   -77 kJ/mol of formula units
# Density of states at the Fermi level   9.62 states/eV/cell
data_LiLuThGa
_chemical_formula_sum 'Li4 Lu4 Th4 Ga4'
_space_group_name_H-M_alt 'P 1'
_space_group_IT_number 1
_space_group_name_Hall 'P 1'
_cell_length_a 7.225
_cell_length_b 7.225
_cell_length_c 7.225
_cell_angle_alpha 90.00
_cell_angle_beta 90.00
_cell_angle_gamma 90.00
loop_
_atom_site_label
_atom_site_type_symbol
_atom_site_fract_x
_atom_site_fract_y
_atom_site_fract_z
_atom_site_occupancy
Li1 Li 0.000 0.000 0.000 1
Li2 Li 0.000 0.500 0.500 1
Li3 Li 0.500 0.000 0.500 1
Li4 Li 0.500 0.500 0.000 1
Lu1 Lu 0.250 0.250 0.750 1
Lu2 Lu 0.250 0.750 0.250 1
Lu3 Lu 0.750 0.250 0.250 1
Lu4 Lu 0.750 0.750 0.750 1
Th1 Th 0.250 0.250 0.250 1
Th2 Th 0.250 0.750 0.750 1
Th3 Th 0.750 0.250 0.750 1
Th4 Th 0.750 0.750 0.250 1
Ga1 Ga 0.000 0.000 0.500 1
Ga2 Ga 0.000 0.500 0.000 1
Ga3 Ga 0.500 0.000 0.000 1
Ga4 Ga 0.500 0.500 0.500 1

***

[2]
# LiTl2Pt | Alexandria via LeMat-Bulk | GGA-PBE | relaxed
# E   -26.34 eV/cell
# Formation enthalpy at 0 K   -47 kJ/mol of formula units
# Density of states at the Fermi level   3.05 states/eV/cell
data_LiTl2Pt
_chemical_formula_sum 'Li2 Tl4 Pt2'
_space_group_name_H-M_alt 'P 1'
_space_group_IT_number 1
_space_group_name_Hall 'P 1'
_cell_length_a 9.765
_cell_length_b 3.908
_cell_length_c 4.620
_cell_angle_alpha 90.00
_cell_angle_beta 109.60
_cell_angle_gamma 90.00
loop_
_atom_site_label
_atom_site_type_symbol
_atom_site_fract_x
_atom_site_fract_y
_atom_site_fract_z
_atom_site_occupancy
Li1 Li 0.000 0.000 0.000 1
Li2 Li 0.500 0.500 0.000 1
Tl1 Tl 0.232 0.000 0.739 1
Tl2 Tl 0.465 0.000 0.429 1
Tl3 Tl 0.732 0.500 0.739 1
Tl4 Tl 0.965 0.500 0.429 1
Pt1 Pt 0.219 0.500 0.203 1
Pt2 Pt 0.719 0.000 0.203 1

***

[3]
# Tm5Ir4Ru | Alexandria via LeMat-Bulk | GGA-PBE | relaxed
# E   -75.30 eV/cell
# Formation enthalpy at 0 K   -793 kJ/mol of formula units
# Density of states at the Fermi level   5.29 states/eV/cell
data_Tm5Ir4Ru
_chemical_formula_sum 'Tm5 Ir4 Ru1'
_space_group_name_H-M_alt 'P 1'
_space_group_IT_number 1
_space_group_name_Hall 'P 1'
_cell_length_a 3.385
_cell_length_b 3.385
_cell_length_c 16.749
_cell_angle_alpha 90.00
_cell_angle_beta 90.00
_cell_angle_gamma 90.00
loop_
_atom_site_label
_atom_site_type_symbol
_atom_site_fract_x
_atom_site_fract_y
_atom_site_fract_z
_atom_site_occupancy
Tm1 Tm 0.000 0.000 0.000 1
Tm2 Tm 0.000 0.000 0.201 1
Tm3 Tm 0.000 0.000 0.402 1
Tm4 Tm 0.000 0.000 0.598 1
Tm5 Tm 0.000 0.000 0.799 1
Ir1 Ir 0.500 0.500 0.100 1
Ir2 Ir 0.500 0.500 0.300 1
Ir3 Ir 0.500 0.500 0.700 1
Ir4 Ir 0.500 0.500 0.900 1
Ru1 Ru 0.500 0.500 0.500 1

***

[4]
# Ho4HfSc6 | Alexandria via LeMat-Bulk | GGA-PBE | relaxed
# E   -129.40 eV/cell
# Formation enthalpy at 0 K   150 kJ/mol of formula units
# Density of states at the Fermi level   27.65 states/eV/cell
data_Ho4HfSc6
_chemical_formula_sum 'Ho8 Hf2 Sc12'
_space_group_name_H-M_alt 'P 1'
_space_group_IT_number 1
_space_group_name_Hall 'P 1'
_cell_length_a 8.384
_cell_length_b 8.384
_cell_length_c 8.255
_cell_angle_alpha 90.00
_cell_angle_beta 90.00
_cell_angle_gamma 90.00
loop_
_atom_site_label
_atom_site_type_symbol
_atom_site_fract_x
_atom_site_fract_y
_atom_site_fract_z
_atom_site_occupancy
Ho1 Ho 0.149 0.351 0.250 1
Ho2 Ho 0.149 0.351 0.750 1
Ho3 Ho 0.351 0.851 0.250 1
Ho4 Ho 0.351 0.851 0.750 1
Ho5 Ho 0.649 0.149 0.250 1
Ho6 Ho 0.649 0.149 0.750 1
Ho7 Ho 0.851 0.649 0.250 1
Ho8 Ho 0.851 0.649 0.750 1
Hf1 Hf 0.000 0.000 0.000 1
Hf2 Hf 0.500 0.500 0.500 1
Sc1 Sc 0.000 0.000 0.334 1
Sc2 Sc 0.000 0.000 0.666 1
Sc3 Sc 0.151 0.651 0.000 1
Sc4 Sc 0.151 0.651 0.500 1
Sc5 Sc 0.349 0.151 0.000 1
Sc6 Sc 0.349 0.151 0.500 1
Sc7 Sc 0.500 0.500 0.166 1
Sc8 Sc 0.500 0.500 0.834 1
Sc9 Sc 0.651 0.849 0.000 1
Sc10 Sc 0.651 0.849 0.500 1
Sc11 Sc 0.849 0.349 0.000 1
Sc12 Sc 0.849 0.349 0.500 1

***

[5]
# ZrAsSe | Alexandria via LeMat-Bulk | GGA-PBE | relaxed
# Raw formation energy   -0.581 eV/atom
# E   -18.43 eV/cell
# Density of states at the Fermi level   2.21 states/eV/cell
data_ZrAsSe
_chemical_formula_sum 'Zr1 As1 Se1'
_space_group_name_H-M_alt 'P 1'
_space_group_IT_number 1
_space_group_name_Hall 'P 1'
_cell_length_a 4.573
_cell_length_b 4.573
_cell_length_c 3.451
_cell_angle_alpha 90.00
_cell_angle_beta 90.00
_cell_angle_gamma 120.00
loop_
_atom_site_label
_atom_site_type_symbol
_atom_site_fract_x
_atom_site_fract_y
_atom_site_fract_z
_atom_site_occupancy
Zr1 Zr 0.000 0.000 0.000 1
As1 As 0.667 0.333 0.500 1
Se1 Se 0.333 0.667 0.000 1

***

[6]
# AgHg2Ir | Alexandria via LeMat-Bulk | GGA-PBE | relaxed
# Distance to the lowest polymorph of the same formula   80 meV per atom
# E   -10.65 eV/cell
# Formation enthalpy at 0 K   161 kJ/mol of formula units
# Density of states at the Fermi level   4.10 states/eV/cell
data_AgHg2Ir
_chemical_formula_sum 'Ag1 Hg2 Ir1'
_space_group_name_H-M_alt 'P 1'
_space_group_IT_number 1
_space_group_name_Hall 'P 1'
_cell_length_a 2.981
_cell_length_b 2.981
_cell_length_c 8.677
_cell_angle_alpha 90.00
_cell_angle_beta 90.00
_cell_angle_gamma 90.00
loop_
_atom_site_label
_atom_site_type_symbol
_atom_site_fract_x
_atom_site_fract_y
_atom_site_fract_z
_atom_site_occupancy
Ag1 Ag 0.000 0.000 0.000 1
Hg1 Hg 0.000 0.000 0.554 1
Hg2 Hg 0.500 0.500 0.257 1
Ir1 Ir 0.500 0.500 0.780 1

***

[7]
# Li5Pr2Cd3 | Alexandria via LeMat-Bulk | GGA-PBE | relaxed
# E   -46.05 eV/cell
# Formation enthalpy at 0 K   -111 kJ/mol of formula units
# Density of states at the Fermi level   17.06 states/eV/cell
data_Li5Pr2Cd3
_chemical_formula_sum 'Li10 Pr4 Cd6'
_space_group_name_H-M_alt 'P 1'
_space_group_IT_number 1
_space_group_name_Hall 'P 1'
_cell_length_a 9.386
_cell_length_b 9.386
_cell_length_c 9.386
_cell_angle_alpha 101.06
_cell_angle_beta 90.58
_cell_angle_gamma 142.94
loop_
_atom_site_label
_atom_site_type_symbol
_atom_site_fract_x
_atom_site_fract_y
_atom_site_fract_z
_atom_site_occupancy
Li1 Li 0.134 0.649 0.783 1
Li2 Li 0.250 0.011 0.761 1
Li3 Li 0.250 0.250 0.000 1
Li4 Li 0.250 0.489 0.239 1
Li5 Li 0.366 0.149 0.515 1
Li6 Li 0.634 0.851 0.485 1
Li7 Li 0.750 0.511 0.761 1
Li8 Li 0.750 0.750 0.000 1
Li9 Li 0.750 0.989 0.239 1
Li10 Li 0.866 0.351 0.217 1
Pr1 Pr 0.234 0.395 0.629 1
Pr2 Pr 0.266 0.895 0.161 1
Pr3 Pr 0.734 0.105 0.839 1
Pr4 Pr 0.766 0.605 0.371 1
Cd1 Cd 0.152 0.138 0.290 1
Cd2 Cd 0.250 0.750 0.500 1
Cd3 Cd 0.348 0.638 0.985 1
Cd4 Cd 0.652 0.362 0.015 1
Cd5 Cd 0.750 0.250 0.500 1
Cd6 Cd 0.848 0.862 0.710 1

***

[8]
# TlInRh | Alexandria via LeMat-Bulk | GGA-PBE | relaxed
# Distance to the lowest polymorph of the same formula   119 meV per atom
# E   -12.31 eV/cell
# Formation enthalpy at 0 K   14 kJ/mol of formula units
# Density of states at the Fermi level   2.14 states/eV/cell
data_TlInRh
_chemical_formula_sum 'Tl1 In1 Rh1'
_space_group_name_H-M_alt 'P 1'
_space_group_IT_number 1
_space_group_name_Hall 'P 1'
_cell_length_a 3.340
_cell_length_b 3.340
_cell_length_c 6.754
_cell_angle_alpha 90.00
_cell_angle_beta 90.00
_cell_angle_gamma 120.00
loop_
_atom_site_label
_atom_site_type_symbol
_atom_site_fract_x
_atom_site_fract_y
_atom_site_fract_z
_atom_site_occupancy
Tl1 Tl 0.000 0.000 0.000 1
In1 In 0.667 0.333 0.406 1
Rh1 Rh 0.333 0.667 0.690 1

***

[9]
# LiPuAu4 | Alexandria via LeMat-Bulk | GGA-PBE | relaxed
# Distance to the lowest polymorph of the same formula   41 meV per atom
# E   -31.50 eV/cell
# Formation enthalpy at 0 K   -207 kJ/mol of formula units
# Density of states at the Fermi level   16.67 states/eV/cell
data_LiPuAu4
_chemical_formula_sum 'Li1 Pu1 Au4'
_space_group_name_H-M_alt 'P 1'
_space_group_IT_number 1
_space_group_name_Hall 'P 1'
_cell_length_a 4.723
_cell_length_b 4.723
_cell_length_c 6.469
_cell_angle_alpha 90.00
_cell_angle_beta 90.00
_cell_angle_gamma 120.00
loop_
_atom_site_label
_atom_site_type_symbol
_atom_site_fract_x
_atom_site_fract_y
_atom_site_fract_z
_atom_site_occupancy
Li1 Li 0.000 0.000 0.000 1
Pu1 Pu 0.000 0.000 0.500 1
Au1 Au 0.333 0.667 0.231 1
Au2 Au 0.333 0.667 0.769 1
Au3 Au 0.667 0.333 0.231 1
Au4 Au 0.667 0.333 0.769 1

***

[10]
# LiTmBiO4 | Alexandria via LeMat-Bulk | GGA-PBE | relaxed
# Raw formation energy   -2.069 eV/atom
# E   -89.16 eV/cell
# Density of states at the Fermi level   4.91 states/eV/cell
data_LiTmBiO4
_chemical_formula_sum 'Li2 Tm2 Bi2 O8'
_space_group_name_H-M_alt 'P 1'
_space_group_IT_number 1
_space_group_name_Hall 'P 1'
_cell_length_a 6.700
_cell_length_b 6.700
_cell_length_c 6.700
_cell_angle_alpha 119.95
_cell_angle_beta 119.25
_cell_angle_gamma 90.70
loop_
_atom_site_label
_atom_site_type_symbol
_atom_site_fract_x
_atom_site_fract_y
_atom_site_fract_z
_atom_site_occupancy
Li1 Li 0.384 0.134 0.250 1
Li2 Li 0.616 0.866 0.750 1
Tm1 Tm 0.000 0.000 0.500 1
Tm2 Tm 0.000 0.500 0.000 1
Bi1 Bi 0.000 0.500 0.500 1
Bi2 Bi 0.500 0.500 0.000 1
O1 O 0.211 0.739 0.471 1
O2 O 0.232 0.261 0.971 1
O3 O 0.241 0.260 0.519 1
O4 O 0.241 0.722 0.981 1
O5 O 0.759 0.278 0.019 1
O6 O 0.759 0.740 0.481 1
O7 O 0.768 0.739 0.029 1
O8 O 0.789 0.261 0.529 1

***

[11]
# Na2SiTe4 | Alexandria via LeMat-Bulk | GGA-PBE | relaxed
# Raw formation energy   -0.300 eV/atom
# Distance to the lowest polymorph of the same formula   0 meV per atom
# E   -45.46 eV/cell
# Density of states at the Fermi level   3.93 states/eV/cell
data_Na2SiTe4
_chemical_formula_sum 'Na4 Si2 Te8'
_space_group_name_H-M_alt 'P 1'
_space_group_IT_number 1
_space_group_name_Hall 'P 1'
_cell_length_a 12.048
_cell_length_b 4.131
_cell_length_c 8.354
_cell_angle_alpha 90.00
_cell_angle_beta 106.81
_cell_angle_gamma 90.00
loop_
_atom_site_label
_atom_site_type_symbol
_atom_site_fract_x
_atom_site_fract_y
_atom_site_fract_z
_atom_site_occupancy
Na1 Na 0.170 0.000 0.150 1
Na2 Na 0.330 0.500 0.850 1
Na3 Na 0.670 0.500 0.150 1
Na4 Na 0.830 0.000 0.850 1
Si1 Si 0.000 0.500 0.500 1
Si2 Si 0.500 0.000 0.500 1
Te1 Te 0.048 0.500 0.851 1
Te2 Te 0.165 0.000 0.555 1
Te3 Te 0.335 0.500 0.445 1
Te4 Te 0.452 0.000 0.149 1
Te5 Te 0.548 0.000 0.851 1
Te6 Te 0.665 0.500 0.555 1
Te7 Te 0.835 0.000 0.445 1
Te8 Te 0.952 0.500 0.149 1

***

[12]
# Th3CdHg5 | Alexandria via LeMat-Bulk | GGA-PBE | relaxed
# Distance to the lowest polymorph of the same formula   0 meV per atom
# E   -53.40 eV/cell
# Formation enthalpy at 0 K   -194 kJ/mol of formula units
# Density of states at the Fermi level   12.91 states/eV/cell
data_Th3CdHg5
_chemical_formula_sum 'Th6 Cd2 Hg10'
_space_group_name_H-M_alt 'P 1'
_space_group_IT_number 1
_space_group_name_Hall 'P 1'
_cell_length_a 9.190
_cell_length_b 9.190
_cell_length_c 6.546
_cell_angle_alpha 90.00
_cell_angle_beta 90.00
_cell_angle_gamma 120.00
loop_
_atom_site_label
_atom_site_type_symbol
_atom_site_fract_x
_atom_site_fract_y
_atom_site_fract_z
_atom_site_occupancy
Th1 Th 0.000 0.350 0.250 1
Th2 Th 0.000 0.650 0.750 1
Th3 Th 0.350 0.000 0.250 1
Th4 Th 0.350 0.350 0.750 1
Th5 Th 0.650 0.000 0.750 1
Th6 Th 0.650 0.650 0.250 1
Cd1 Cd 0.000 0.000 0.000 1
Cd2 Cd 0.000 0.000 0.500 1
Hg1 Hg 0.000 0.315 0.750 1
Hg2 Hg 0.000 0.685 0.250 1
Hg3 Hg 0.315 0.000 0.750 1
Hg4 Hg 0.315 0.315 0.250 1
Hg5 Hg 0.333 0.667 0.000 1
Hg6 Hg 0.333 0.667 0.500 1
Hg7 Hg 0.667 0.333 0.000 1
Hg8 Hg 0.667 0.333 0.500 1
Hg9 Hg 0.685 0.000 0.250 1
Hg10 Hg 0.685 0.685 0.750 1